VASP calculation (PBE-GGA) on a relaxed structure of TlHg3W.

- Uncorrected energy: -12.0 eV per formula unit
- Total magnetization: 1.176 μB per formula unit
- E above lowest polymorph: 0 meV/atom

a = 5.372 Å, b = 5.372 Å, c = 5.372 Å
α = 90.00°, β = 90.00°, γ = 90.00°
Space group Pm-3m (No. 221)
Symmetry-distinct sites (fractional):
Tl1 0.000 0.000 0.000 x1
Hg1 0.000 0.500 0.500 x3
W1 0.500 0.500 0.500 x1

VASP calculation (PBE-GGA) on a relaxed structure of TlHg2W.

- Uncorrected energy: -11.8 eV per formula unit
- Total magnetization: 0.958 μB per formula unit
- E above lowest polymorph: 372 meV/atom

a = 4.155 Å, b = 4.155 Å, c = 21.264 Å
α = 90.00°, β = 90.00°, γ = 90.00°
Space group I-42d (No. 122)
Symmetry-distinct sites (fractional):
Tl1 0.000 0.000 0.000 x4
Hg1 0.230 0.250 0.625 x8
W1 0.000 0.000 0.500 x4

VASP calculation (PBE-GGA) on a relaxed structure of TlHgW.

- Uncorrected energy: -12.9 eV per formula unit
- Total magnetization: 0.000 μB per formula unit
- E above lowest polymorph: 53 meV/atom

a = 3.203 Å, b = 5.135 Å, c = 15.363 Å
α = 90.00°, β = 90.00°, γ = 90.00°
Space group Fmm2 (No. 42)
Symmetry-distinct sites (fractional):
Tl1 0.000 0.000 0.000 x4
Hg1 0.000 0.000 0.318 x4
W1 0.000 0.000 0.663 x4